<1>
A relaxed structure of ZrBe2Ir. Source: Alexandria, functional PBE-GGA.

Geometry as CIF:
```
data_ZrBe2Ir
_symmetry_space_group_name_H-M 'P 1'
_symmetry_Int_Tables_number 1
_symmetry_space_group_name_Hall 'P 1'
_cell_length_a 4.4925
_cell_length_b 4.4925
_cell_length_c 4.4925
_cell_angle_alpha 126.81
_cell_angle_beta 126.81
_cell_angle_gamma 78.55
loop_
_atom_site_label
_atom_site_type_symbol
_atom_site_fract_x
_atom_site_fract_y
_atom_site_fract_z
_atom_site_occupancy
Be1 Be 0.0000 0.0000 0.0000 1
Be2 Be 0.2500 0.7500 0.5000 1
Ir1 Ir 0.5000 0.5000 0.0000 1
Zr1 Zr 0.7500 0.2500 0.5000 1
```

Results
Space group ... I-4m2 (119)

---

<2>
A relaxed structure of ZrBe2Ir. Source: Alexandria, functional PBE-GGA.

Geometry as CIF:
```
data_ZrBe2Ir
_symmetry_space_group_name_H-M 'P 1'
_symmetry_Int_Tables_number 1
_symmetry_space_group_name_Hall 'P 1'
_cell_length_a 3.6518
_cell_length_b 6.4344
_cell_length_c 9.3156
_cell_angle_alpha 90.00
_cell_angle_beta 90.00
_cell_angle_gamma 90.00
loop_
_atom_site_label
_atom_site_type_symbol
_atom_site_fract_x
_atom_site_fract_y
_atom_site_fract_z
_atom_site_occupancy
Zr1 Zr 0.7500 0.6792 0.3559 1
Zr2 Zr 0.7500 0.1792 0.1441 1
Zr3 Zr 0.2500 0.3208 0.6441 1
Zr4 Zr 0.2500 0.8208 0.8559 1
Be1 Be 0.7500 0.7344 0.0666 1
Be2 Be 0.2500 0.2656 0.9334 1
Be3 Be 0.7500 0.2344 0.4334 1
Be4 Be 0.2500 0.7656 0.5666 1
Be5 Be 0.7500 0.1336 0.8303 1
Be6 Be 0.2500 0.3664 0.3303 1
Be7 Be 0.7500 0.6336 0.6697 1
Be8 Be 0.2500 0.8664 0.1697 1
Ir1 Ir 0.2500 0.0221 0.3882 1
Ir2 Ir 0.7500 0.9779 0.6118 1
Ir3 Ir 0.2500 0.5221 0.1118 1
Ir4 Ir 0.7500 0.4779 0.8882 1
```

Results
Space group ... Pnma (62)

---

Compare the structures above. Which one is the most stable? <2> is.